Entry 1:
CeNdHgPb | PBE | optimized geometry

Results
DFT formation energy (eV per atom): -0.414
Space-group type: No. 216
Total moment (μB per formula unit): 1.379
Crystal system: cubic

a b c (Å): 5.4995 5.4995 5.4995
angles (deg): 60.00 60.00 60.00
Sites, in units of the cell vectors:
Ce: 0.0000 0.0000 0.0000
Nd: 0.5000 0.5000 0.5000
Hg: 0.2500 0.2500 0.2500
Pb: 0.7500 0.7500 0.7500



Entry 2:
Ce2PmNdHg4 | PBE | optimized geometry

Results
DFT formation energy (eV per atom): -0.376
Space-group type: No. 166
Total moment (μB per formula unit): 3.798
Crystal system: trigonal

a b c (Å): 9.3946 9.3946 9.3946
angles (deg): 33.49 33.49 33.49
Sites, in units of the cell vectors:
Ce: 0.2499 0.2499 0.2499
Ce: 0.7501 0.7501 0.7501
Pm: 0.0000 0.0000 0.0000
Nd: 0.5000 0.5000 0.5000
Hg: 0.1245 0.1245 0.1245
Hg: 0.3745 0.3745 0.3745
Hg: 0.6255 0.6255 0.6255
Hg: 0.8755 0.8755 0.8755



Entry 3:
CePmNdHg | PBE | optimized geometry

Results
DFT formation energy (eV per atom): -0.018
Space-group type: No. 216
Total moment (μB per formula unit): 1.697
Crystal system: cubic

a b c (Å): 5.5114 5.5114 5.5114
angles (deg): 60.00 60.00 60.00
Sites, in units of the cell vectors:
Ce: 0.0000 0.0000 0.0000
Pm: 0.7500 0.7500 0.7500
Nd: 0.5000 0.5000 0.5000
Hg: 0.2500 0.2500 0.2500



Entry 4:
CeNdHgPt | PBE | optimized geometry

Results
DFT formation energy (eV per atom): -0.636
Space-group type: No. 216
Total moment (μB per formula unit): 1.033
Crystal system: cubic

a b c (Å): 5.2401 5.2401 5.2401
angles (deg): 60.00 60.00 60.00
Sites, in units of the cell vectors:
Ce: 0.0000 0.0000 0.0000
Nd: 0.5000 0.5000 0.5000
Hg: 0.2500 0.2500 0.2500
Pt: 0.7500 0.7500 0.7500



Entry 5:
CeNdHgRh | PBE | optimized geometry

Results
DFT formation energy (eV per atom): -0.433
Space-group type: No. 216
Total moment (μB per formula unit): 0.855
Crystal system: cubic

a b c (Å): 5.1979 5.1979 5.1979
angles (deg): 60.00 60.00 60.00
Sites, in units of the cell vectors:
Ce: 0.0000 0.0000 0.0000
Nd: 0.5000 0.5000 0.5000
Hg: 0.2500 0.2500 0.2500
Rh: 0.7500 0.7500 0.7500



Entry 6:
CeNdHgRu | PBE | optimized geometry

Results
DFT formation energy (eV per atom): -0.206
Space-group type: No. 216
Total moment (μB per formula unit): 0.493
Crystal system: cubic

a b c (Å): 5.1665 5.1665 5.1665
angles (deg): 60.00 60.00 60.00
Sites, in units of the cell vectors:
Ce: 0.0000 0.0000 0.0000
Nd: 0.5000 0.5000 0.5000
Hg: 0.2500 0.2500 0.2500
Ru: 0.7500 0.7500 0.7500



Entry 7:
CeNdHgSb | PBE | optimized geometry

Results
E_form (uncorrected) (eV/atom): -0.619
Space-group type: No. 216
Total moment (μB per formula unit): 1.734
Crystal system: cubic

a b c (Å): 5.4362 5.4362 5.4362
angles (deg): 60.00 60.00 60.00
Sites, in units of the cell vectors:
Ce: 0.0000 0.0000 0.0000
Nd: 0.5000 0.5000 0.5000
Hg: 0.2500 0.2500 0.2500
Sb: 0.7500 0.7500 0.7500



Entry 8:
CeNdSiHg | PBE | optimized geometry

Results
E_form (uncorrected) (eV/atom): -0.395
Space-group type: No. 216
Total moment (μB per formula unit): 0.995
Crystal system: cubic

a b c (Å): 5.2659 5.2659 5.2659
angles (deg): 60.00 60.00 60.00
Sites, in units of the cell vectors:
Ce: 0.0000 0.0000 0.0000
Nd: 0.5000 0.5000 0.5000
Si: 0.7500 0.7500 0.7500
Hg: 0.2500 0.2500 0.2500



Entry 9:
CeNdSm2Hg4 | PBE | optimized geometry

Results
DFT formation energy (eV per atom): -0.423
Space-group type: No. 166
Total moment (μB per formula unit): 2.676
Crystal system: trigonal

a b c (Å): 9.3484 9.3484 9.3484
angles (deg): 33.57 33.57 33.57
Sites, in units of the cell vectors:
Ce: 0.0000 0.0000 0.0000
Nd: 0.5000 0.5000 0.5000
Sm: 0.2507 0.2507 0.2507
Sm: 0.7493 0.7493 0.7493
Hg: 0.1251 0.1251 0.1251
Hg: 0.3753 0.3753 0.3753
Hg: 0.6247 0.6247 0.6247
Hg: 0.8749 0.8749 0.8749



Entry 10:
CeNd2SmHg4 | PBE | optimized geometry

Results
DFT formation energy (eV per atom): -0.423
Space-group type: No. 166
Total moment (μB per formula unit): 2.767
Crystal system: trigonal

a b c (Å): 9.3790 9.3790 9.3790
angles (deg): 33.55 33.55 33.55
Sites, in units of the cell vectors:
Ce: 0.0000 0.0000 0.0000
Nd: 0.2506 0.2506 0.2506
Nd: 0.7494 0.7494 0.7494
Sm: 0.5000 0.5000 0.5000
Hg: 0.1259 0.1259 0.1259
Hg: 0.3761 0.3761 0.3761
Hg: 0.6239 0.6239 0.6239
Hg: 0.8741 0.8741 0.8741



Entry 11:
Tb2CeNdHg4 | PBE | optimized geometry

Results
DFT formation energy (eV per atom): -0.421
Space-group type: No. 166
Total moment (μB per formula unit): 2.316
Crystal system: trigonal

a b c (Å): 9.2803 9.2803 9.2803
angles (deg): 33.58 33.58 33.58
Sites, in units of the cell vectors:
Tb: 0.2493 0.2493 0.2493
Tb: 0.7507 0.7507 0.7507
Ce: 0.5000 0.5000 0.5000
Nd: 0.0000 0.0000 0.0000
Hg: 0.1249 0.1249 0.1249
Hg: 0.3750 0.3750 0.3750
Hg: 0.6250 0.6250 0.6250
Hg: 0.8751 0.8751 0.8751



Entry 12:
TbCeNdHg | PBE | optimized geometry

Results
DFT formation energy (eV per atom): 0.000
Space-group type: No. 216
Total moment (μB per formula unit): 2.500
Crystal system: cubic

a b c (Å): 5.4072 5.4072 5.4072
angles (deg): 60.00 60.00 60.00
Sites, in units of the cell vectors:
Tb: 0.0000 0.0000 0.0000
Ce: 0.2500 0.2500 0.2500
Nd: 0.5000 0.5000 0.5000
Hg: 0.7500 0.7500 0.7500



Entry 13:
CeNdHgTe | PBE | optimized geometry

Results
E_form (uncorrected) (eV/atom): -0.809
Space-group type: No. 123
Total moment (μB per formula unit): 0.972
Crystal system: tetragonal

a b c (Å): 4.4744 4.4744 6.3711
angles (deg): 90.00 90.00 90.00
Sites, in units of the cell vectors:
Ce: 0.0000 0.0000 0.0000
Nd: 0.5000 0.5000 0.5000
Hg: 0.5000 0.5000 0.0000
Te: 0.0000 0.0000 0.5000



Entry 14:
CeNdTlHg | PBE | optimized geometry

Results
DFT formation energy (eV per atom): -0.334
Space-group type: No. 216
Total moment (μB per formula unit): 2.036
Crystal system: cubic

a b c (Å): 5.4831 5.4831 5.4831
angles (deg): 60.00 60.00 60.00
Sites, in units of the cell vectors:
Ce: 0.0000 0.0000 0.0000
Nd: 0.5000 0.5000 0.5000
Tl: 0.7500 0.7500 0.7500
Hg: 0.2500 0.2500 0.2500



Entry 15:
CeNdTlHg | PBE | optimized geometry

Results
DFT formation energy (eV per atom): -0.341
Space-group type: No. 99
Total moment (μB per formula unit): 1.084
Crystal system: tetragonal

a b c (Å): 3.6037 3.6037 8.7687
angles (deg): 90.00 90.00 90.00
Sites, in units of the cell vectors:
Ce: 0.0000 0.0000 0.0000
Nd: 0.0000 0.0000 0.5124
Tl: 0.5000 0.5000 0.2566
Hg: 0.5000 0.5000 0.7568



Entry 16:
CeNdYHg | PBE | optimized geometry

Results
DFT formation energy (eV per atom): 0.001
Space-group type: No. 216
Total moment (μB per formula unit): 2.854
Crystal system: cubic

a b c (Å): 5.4218 5.4218 5.4218
angles (deg): 60.00 60.00 60.00
Sites, in units of the cell vectors:
Ce: 0.0000 0.0000 0.0000
Nd: 0.7500 0.7500 0.7500
Y: 0.2500 0.2500 0.2500
Hg: 0.5000 0.5000 0.5000



Entry 17:
CeNiHg | PBE | optimized geometry

Results
DFT formation energy (eV per atom): -0.186
Space-group type: No. 107
Total moment (μB per formula unit): 1.000
Crystal system: tetragonal

a b c (Å): 6.1205 6.1205 6.1205
angles (deg): 148.67 148.67 44.89
Sites, in units of the cell vectors:
Ce: 0.0000 0.0000 0.0000
Ni: 0.6464 0.6464 0.0000
Hg: 0.2879 0.2879 0.0000



Entry 18:
CeNiHg | PBE | optimized geometry

Results
DFT formation energy (eV per atom): -0.238
Space-group type: No. 216
Total moment (μB per formula unit): 0.935
Crystal system: cubic

a b c (Å): 4.6140 4.6140 4.6140
angles (deg): 60.00 60.00 60.00
Sites, in units of the cell vectors:
Ce: 0.0000 0.0000 0.0000
Ni: 0.2500 0.2500 0.2500
Hg: 0.5000 0.5000 0.5000



Entry 19:
CeNiHg | PBE | optimized geometry

Results
DFT formation energy (eV per atom): -0.348
Space-group type: No. 51
Total moment (μB per formula unit): 0.167
Crystal system: orthorhombic

a b c (Å): 13.1498 3.7597 7.6212
angles (deg): 90.00 90.00 90.00
Sites, in units of the cell vectors:
Ce: 0.0477 0.0000 0.2250
Ce: 0.2500 0.0000 0.8391
Ce: 0.4523 0.0000 0.2250
Ce: 0.5477 0.0000 0.7750
Ce: 0.7500 0.0000 0.1609
Ce: 0.9523 0.0000 0.7750
Ni: 0.0901 0.5000 0.9353
Ni: 0.2500 0.0000 0.4385
Ni: 0.4099 0.5000 0.9353
Ni: 0.5901 0.5000 0.0647
Ni: 0.7500 0.0000 0.5615
Ni: 0.9099 0.5000 0.0647
Hg: 0.1169 0.5000 0.5674
Hg: 0.2500 0.5000 0.1809
Hg: 0.3831 0.5000 0.5674
Hg: 0.6169 0.5000 0.4326
Hg: 0.7500 0.5000 0.8191
Hg: 0.8831 0.5000 0.4326



Entry 20:
CeNi2Hg | PBE | optimized geometry

Results
DFT formation energy (eV per atom): -0.080
Space-group type: No. 123
Total moment (μB per formula unit): 0.000
Crystal system: tetragonal

a b c (Å): 3.3154 3.3154 6.4737
angles (deg): 90.00 90.00 90.00
Sites, in units of the cell vectors:
Ce: 0.0000 0.0000 0.0000
Ni: 0.5000 0.5000 0.2712
Ni: 0.5000 0.5000 0.7288
Hg: 0.0000 0.0000 0.5000



Entry 21:
CeNiHg | PBE | optimized geometry

Results
DFT formation energy (eV per atom): -0.248
Space-group type: No. 187
Total moment (μB per formula unit): 0.074
Crystal system: hexagonal

a b c (Å): 4.6122 4.6122 3.4561
angles (deg): 90.00 90.00 120.00
Sites, in units of the cell vectors:
Ce: 0.0000 0.0000 0.0000
Ni: 0.3333 0.6667 0.5000
Hg: 0.6667 0.3333 0.5000



Entry 22:
Ce4NiHg2 | PBE | optimized geometry

Results
DFT formation energy (eV per atom): -0.105
Space-group type: No. 139
Total moment (μB per formula unit): 2.201
Crystal system: tetragonal

a b c (Å): 8.7544 8.7544 8.7544
angles (deg): 146.24 146.24 48.48
Sites, in units of the cell vectors:
Ce: 0.0000 0.5000 0.5000
Ce: 0.1827 0.1827 0.0000
Ce: 0.5000 0.0000 0.5000
Ce: 0.8173 0.8173 0.0000
Ni: 0.0000 0.0000 0.0000
Hg: 0.3727 0.3727 0.0000
Hg: 0.6273 0.6273 0.0000



Entry 23:
Ce3Ni8Hg | PBE | optimized geometry

Results
DFT formation energy (eV per atom): -0.354
Space-group type: No. 160
Total moment (μB per formula unit): 0.038
Crystal system: trigonal

a b c (Å): 8.7940 8.7940 8.7940
angles (deg): 33.31 33.31 33.31
Sites, in units of the cell vectors:
Ce: 0.0000 0.0000 0.0000
Ce: 0.1272 0.1272 0.1272
Ce: 0.5067 0.5067 0.5067
Ni: 0.0645 0.5655 0.5655
Ni: 0.0660 0.0660 0.5629
Ni: 0.0660 0.5629 0.0660
Ni: 0.3150 0.3150 0.3150
Ni: 0.5629 0.0660 0.0660
Ni: 0.5655 0.0645 0.5655
Ni: 0.5655 0.5655 0.0645
Ni: 0.8149 0.8149 0.8149
Hg: 0.6295 0.6295 0.6295



Entry 24:
Ce2NiHg | PBE | optimized geometry

Results
DFT formation energy (eV per atom): -0.189
Space-group type: No. 166
Total moment (μB per formula unit): 1.593
Crystal system: trigonal

a b c (Å): 8.4825 8.4825 8.4825
angles (deg): 26.24 26.24 26.24
Sites, in units of the cell vectors:
Ce: 0.2336 0.2336 0.2336
Ce: 0.7664 0.7664 0.7664
Ni: 0.5000 0.5000 0.5000
Hg: 0.0000 0.0000 0.0000



Entry 25:
Ce2NiHg | PBE | optimized geometry

Results
DFT formation energy (eV per atom): -0.280
Space-group type: No. 123
Total moment (μB per formula unit): 0.765
Crystal system: tetragonal

a b c (Å): 3.6199 3.6199 7.0760
angles (deg): 90.00 90.00 90.00
Sites, in units of the cell vectors:
Ce: 0.0000 0.0000 0.1989
Ce: 0.0000 0.0000 0.8011
Ni: 0.5000 0.5000 0.0000
Hg: 0.5000 0.5000 0.5000



Entry 26:
CeNiHg2 | PBE | optimized geometry

Results
DFT formation energy (eV per atom): -0.296
Space-group type: No. 63
Total moment (μB per formula unit): 0.523
Crystal system: orthorhombic

a b c (Å): 5.3237 5.3237 8.4701
angles (deg): 90.00 90.00 134.80
Sites, in units of the cell vectors:
Ce: 0.0674 0.9326 0.7500
Ce: 0.9326 0.0674 0.2500
Ni: 0.2281 0.7719 0.2500
Ni: 0.7719 0.2281 0.7500
Hg: 0.3565 0.6435 0.5520
Hg: 0.3565 0.6435 0.9480
Hg: 0.6435 0.3565 0.0520
Hg: 0.6435 0.3565 0.4480



Entry 27:
CeNi2Hg | PBE | optimized geometry

Results
DFT formation energy (eV per atom): -0.224
Space-group type: No. 166
Total moment (μB per formula unit): 0.198
Crystal system: trigonal

a b c (Å): 4.9020 4.9020 4.9020
angles (deg): 55.26 55.26 55.26
Sites, in units of the cell vectors:
Ce: 0.0000 0.0000 0.0000
Ni: 0.2107 0.2107 0.2107
Ni: 0.7893 0.7893 0.7893
Hg: 0.5000 0.5000 0.5000



Entry 28:
Ce4NiHg | PBE | optimized geometry

Results
DFT formation energy (eV per atom): -0.182
Space-group type: No. 15
Total moment (μB per formula unit): 0.003
Crystal system: monoclinic

a b c (Å): 7.5853 7.5853 5.6029
angles (deg): 101.87 101.87 108.17
Sites, in units of the cell vectors:
Ce: 0.0637 0.6928 0.8522
Ce: 0.1707 0.3783 0.6344
Ce: 0.3072 0.9363 0.6478
Ce: 0.3783 0.1707 0.1344
Ce: 0.6217 0.8293 0.8656
Ce: 0.6928 0.0637 0.3522
Ce: 0.8293 0.6217 0.3656
Ce: 0.9363 0.3072 0.1478
Ni: 0.0240 0.9760 0.2500
Ni: 0.9760 0.0240 0.7500
Hg: 0.3863 0.6137 0.2500
Hg: 0.6137 0.3863 0.7500